(1)
This record from the Alexandria database describes crystalline Ac3Tm at its relaxed geometry. The functional is PBEsol.

Unit cell a=7.6525 b=7.6525 c=6.1034 alpha=90.00 beta=90.00 gamma=120.00
Last column: nearest neighbours and their distance in Å.
Atoms (fractional coordinates):
Ac 0.1698 0.3397 0.2500  4 Tm 3.74-3.83, 8 Ac 3.75-3.90
Ac 0.1698 0.8302 0.2500  4 Tm 3.74-3.83, 8 Ac 3.75-3.90
Ac 0.3397 0.1698 0.7500  4 Tm 3.74-3.83, 8 Ac 3.75-3.90
Ac 0.6603 0.8302 0.2500  4 Tm 3.74-3.83, 8 Ac 3.75-3.90
Ac 0.8302 0.1698 0.7500  4 Tm 3.74-3.83, 8 Ac 3.75-3.90
Ac 0.8302 0.6603 0.7500  4 Tm 3.74-3.83, 8 Ac 3.75-3.90
Tm 0.3333 0.6667 0.7500  12 Ac 3.74-3.83
Tm 0.6667 0.3333 0.2500  12 Ac 3.74-3.83

Calculated values
**DFT total energy**: -4.54 eV/atom
**E_form**: 58 meV/atom
**Symmetry**: No. 194
**Spin magnetization**: 0.0000 μB per atom

---

(2)
This record from the Alexandria database describes crystalline Ag at its relaxed geometry. The functional is PBEsol.

Unit cell a=2.8781 b=2.8781 c=4.6376 alpha=90.00 beta=90.00 gamma=120.00
Last column: nearest neighbours and their distance in Å.
Atoms (fractional coordinates):
Ag 0.3333 0.6667 0.2500  12 Ag 2.85-2.88
Ag 0.6667 0.3333 0.7500  12 Ag 2.85-2.88

Calculated values
**DFT total energy**: -3.30 eV/atom
**Distance to the lowest polymorph of the same formula**: 9.6 meV/atom
**E_form**: 10 meV/atom
**Symmetry**: No. 194
**Spin magnetization**: 0.0000 μB per atom

---

(3)
This record from the Alexandria database describes crystalline Ag at its relaxed geometry. The functional is PBEsol.

Unit cell a=2.8594 b=2.8594 c=2.8594 alpha=60.00 beta=60.00 gamma=60.00
Last column: nearest neighbours and their distance in Å.
Atoms (fractional coordinates):
Ag 0.0000 0.0000 0.0000  12 Ag 2.86

Calculated values
**DFT total energy**: -3.31 eV/atom
**Distance to the lowest polymorph of the same formula**: 0.0 meV/atom
**E_form**: 0 meV/atom
**Symmetry**: No. 225
**Spin magnetization**: 0.0000 μB per atom

---

(4)
This record from the Alexandria database describes crystalline Ag at its relaxed geometry. The functional is PBEsol.

Unit cell a=7.2540 b=7.2540 c=7.2540 alpha=22.65 beta=22.65 gamma=22.65
Last column: nearest neighbours and their distance in Å.
Atoms (fractional coordinates):
Ag 0.0000 0.0000 0.0000  12 Ag 2.85-2.87
Ag 0.2223 0.2223 0.2223  12 Ag 2.85-2.88
Ag 0.7777 0.7777 0.7777  12 Ag 2.85-2.88

Calculated values
**DFT total energy**: -3.30 eV/atom
**Distance to the lowest polymorph of the same formula**: 8.4 meV/atom
**E_form**: 8 meV/atom
**Symmetry**: No. 166
**Spin magnetization**: 0.0000 μB per atom

---

(5)
This record from the Alexandria database describes crystalline Ag at its relaxed geometry. The functional is PBEsol.

Unit cell a=2.7872 b=2.7872 c=2.7872 alpha=109.47 beta=109.47 gamma=109.47
Last column: nearest neighbours and their distance in Å.
Atoms (fractional coordinates):
Ag 0.0000 0.0000 0.0000  8 Ag 2.79

Calculated values
**DFT total energy**: -3.27 eV/atom
**Distance to the lowest polymorph of the same formula**: 38.6 meV/atom
**E_form**: 39 meV/atom
**Symmetry**: No. 229
**Spin magnetization**: 0.0000 μB per atom

---

(6)
This record from the Alexandria database describes crystalline Ag at its relaxed geometry. The functional is PBEsol.

Unit cell a=4.2544 b=4.2544 c=4.2544 alpha=60.00 beta=60.00 gamma=60.00
Last column: nearest neighbours and their distance in Å.
Atoms (fractional coordinates):
Ag 0.1250 0.1250 0.1250  4 Ag 2.61
Ag 0.8750 0.8750 0.8750  4 Ag 2.61

Calculated values
**DFT total energy**: -2.33 eV/atom
**Distance to the lowest polymorph of the same formula**: 985.7 meV/atom
**E_form**: 986 meV/atom
**Symmetry**: No. 227
**Spin magnetization**: 0.0000 μB per atom

---

(7)
This record from the Alexandria database describes crystalline Ag at its relaxed geometry. The functional is PBEsol.

Unit cell a=2.7874 b=2.7874 c=2.7874 alpha=109.47 beta=109.47 gamma=109.47
Last column: nearest neighbours and their distance in Å.
Atoms (fractional coordinates):
Ag 0.0000 0.0000 0.0000  8 Ag 2.79

Calculated values
**DFT total energy**: -3.27 eV/atom
**Distance to the lowest polymorph of the same formula**: 43.9 meV/atom
**E_form**: 44 meV/atom
**Symmetry**: No. 229
**Spin magnetization**: 0.0000 μB per atom

---

(8)
This record from the Alexandria database describes crystalline AlAg at its relaxed geometry. The functional is PBEsol.

Unit cell a=5.6761 b=5.6761 c=5.6761 alpha=60.00 beta=60.00 gamma=60.00
Last column: nearest neighbours and their distance in Å.
Atoms (fractional coordinates):
Al 0.0000 0.0000 0.0000  6 Al 2.84, 6 Ag 2.84
Al 0.0000 0.0000 0.5000  6 Ag 2.84, 6 Al 2.84
Al 0.0000 0.5000 0.0000  6 Ag 2.84, 6 Al 2.84
Al 0.5000 0.0000 0.0000  6 Ag 2.84, 6 Al 2.84
Ag 0.0000 0.5000 0.5000  6 Ag 2.84, 6 Al 2.84
Ag 0.5000 0.0000 0.5000  6 Ag 2.84, 6 Al 2.84
Ag 0.5000 0.5000 0.0000  6 Ag 2.84, 6 Al 2.84
Ag 0.5000 0.5000 0.5000  6 Ag 2.84, 6 Al 2.84

Calculated values
**DFT total energy**: -3.74 eV/atom
**E_form**: -37 meV/atom
**Symmetry**: No. 227
**Spin magnetization**: 0.0000 μB per atom

---

(9)
This record from the Alexandria database describes crystalline Al3Ag at its relaxed geometry. The functional is PBEsol.

Unit cell a=4.9557 b=4.9557 c=4.9557 alpha=132.15 beta=132.15 gamma=69.99
Last column: nearest neighbours and their distance in Å.
Atoms (fractional coordinates):
Al 0.0000 0.0000 0.0000  4 Ag 2.84, 8 Al 2.86
Al 0.2500 0.7500 0.5000  8 Al 2.84-2.86, 4 Ag 2.86
Al 0.7500 0.2500 0.5000  8 Al 2.84-2.86, 4 Ag 2.86
Ag 0.5000 0.5000 0.0000  12 Al 2.84-2.86

Calculated values
**DFT total energy**: -3.88 eV/atom
**E_form**: 15 meV/atom
**Symmetry**: No. 139
**Spin magnetization**: 0.0000 μB per atom

---

(10)
This record from the Alexandria database describes crystalline Al5Ag6 at its relaxed geometry. The functional is PBEsol.

Unit cell a=4.7530 b=4.9105 c=7.7759 alpha=98.24 beta=92.16 gamma=98.56
Last column: nearest neighbours and their distance in Å.
Atoms (fractional coordinates):
Al 0.0000 0.0000 0.0000  6 Ag 2.68-2.91, 6 Al 2.79-2.98
Al 0.1026 0.5362 0.1904  7 Ag 2.68-2.89, 5 Al 2.79-2.99
Al 0.2057 0.0834 0.3686  8 Ag 2.72-2.86, 4 Al 2.81-2.95
Al 0.4517 0.7149 0.9032  8 Ag 2.69-2.95, 4 Al 2.79-2.99
Al 0.8256 0.8976 0.6346  9 Ag 2.68-2.93, 3 Al 2.88-2.95
Ag 0.2961 0.6332 0.5426  6 Al 2.68-2.83, 5 Ag 2.77-2.95
Ag 0.3583 0.1710 0.7263  6 Al 2.70-2.91, 6 Ag 2.79-2.99
Ag 0.5373 0.2487 0.0911  7 Al 2.68-2.95, 5 Ag 2.82-2.93
Ag 0.6592 0.8022 0.2650  7 Al 2.68-2.90, 5 Ag 2.82-2.95
Ag 0.7520 0.3427 0.4570  5 Al 2.72-2.89, 7 Ag 2.77-2.99
Ag 0.9088 0.4621 0.8324  7 Al 2.69-2.93, 4 Ag 2.82-2.94

Calculated values
**DFT total energy**: -3.73 eV/atom
**Distance to the lowest polymorph of the same formula**: 4.5 meV/atom
**E_form**: -65 meV/atom
**Symmetry**: No. 1
**Spin magnetization**: 0.0000 μB per atom

---

(11)
This record from the Alexandria database describes crystalline AlAg at its relaxed geometry. The functional is PBEsol.

Unit cell a=4.8058 b=4.8058 c=9.4634 alpha=99.91 beta=99.91 gamma=37.03
Last column: nearest neighbours and their distance in Å.
Atoms (fractional coordinates):
Al 0.0000 0.0000 0.0000  6 Ag 2.71-2.90, 4 Al 2.83
Al 0.2537 0.2537 0.3894  7 Ag 2.68-2.80, 3 Al 2.82-2.85
Al 0.5013 0.5013 0.7480  8 Ag 2.73-2.84, 4 Al 2.83-3.05
Al 0.5036 0.5036 0.2520  5 Ag 2.68-2.78, 5 Al 2.82-2.85
Ag 0.0004 0.0004 0.4946  7 Al 2.68-2.84, 3 Ag 2.79-2.87
Ag 0.2502 0.2502 0.8827  6 Al 2.71-2.84, 4 Ag 2.84-2.88
Ag 0.7539 0.7539 0.6308  5 Al 2.73-2.78, 7 Ag 2.79-3.05
Ag 0.7546 0.7546 0.1421  8 Al 2.68-2.90, 2 Ag 2.88

Calculated values
**DFT total energy**: -3.76 eV/atom
**E_form**: -60 meV/atom
**Symmetry**: No. 8
**Spin magnetization**: 0.0000 μB per atom

---

(12)
This record from the Alexandria database describes crystalline Al3Ag5 at its relaxed geometry. The functional is PBEsol.

Unit cell a=17.9253 b=17.9253 c=17.9253 alpha=9.28 beta=9.28 gamma=9.28
Last column: nearest neighbours and their distance in Å.
Atoms (fractional coordinates):
Al 0.0000 0.0000 0.0000  3 Ag 2.72, 9 Al 2.80-2.90
Al 0.1241 0.1241 0.1241  6 Ag 2.73, 6 Al 2.90
Al 0.6249 0.6249 0.6249  3 Ag 2.72, 9 Al 2.80-2.90
Ag 0.2516 0.2516 0.2516  3 Al 2.72, 9 Ag 2.87-2.90
Ag 0.3733 0.3733 0.3733  3 Al 2.72, 9 Ag 2.88-2.90
Ag 0.4978 0.4978 0.4978  3 Al 2.73, 9 Ag 2.87-2.90
Ag 0.7504 0.7504 0.7504  3 Al 2.73, 9 Ag 2.88-2.90
Ag 0.8748 0.8748 0.8748  12 Ag 2.87-2.90

Calculated values
**DFT total energy**: -3.66 eV/atom
**Distance to the lowest polymorph of the same formula**: 36.9 meV/atom
**E_form**: -56 meV/atom
**Symmetry**: No. 160
**Spin magnetization**: 0.0000 μB per atom

---

> Number 12 is which compound?

Al3Ag5